Compound: Nd2Y2CI2Cl3
Source: the Open Quantum Materials Database
Functional: GGA-PBE
Structure: optimized geometry

Distance to the lowest polymorph of the same formula, eV per formula unit: 0.38
Space group: C2/m (12)
Energy, eV per atom: -5.45

Lattice parameters (Å, degrees): 9.3269 9.3269 8.0826 100.97 100.97 24.04
Last column: nearest neighbours and their distance in Å.
Positions (direct):
Nd 0.1395 0.1395 0.0615  1 C 2.50
Nd 0.8605 0.8605 0.9385  1 C 2.50
Y 0.4975 0.4975 0.2054  2 C 2.56, 1 Cl 2.84
Y 0.5025 0.5025 0.7946  2 C 2.56, 1 Cl 2.84
C 0.0000 0.0000 0.0000  2 Nd 2.50, 4 Y 2.56
I 0.3349 0.3349 0.6322  1 Y 3.08, 2 Nd 3.11
I 0.6651 0.6651 0.3678  1 Y 3.08, 2 Nd 3.11
Cl 0.0000 0.0000 0.5000  4 Y 3.07
Cl 0.3400 0.3400 0.1828  1 Y 2.84, 2 Nd 2.85
Cl 0.6600 0.6600 0.8172  1 Y 2.84, 2 Nd 2.85